[1]
A plane-wave DFT calculation with PBE-GGA was carried out for Rb3Y3ZrTe8 after structural relaxation.

Cell: 10.1362 10.1362 10.1362 Å, 51.54 51.54 51.54°
Element x y z (fractional)
1 Rb 0.0000 0.5000 0.5000
2 Rb 0.5000 0.0000 0.5000
3 Rb 0.5000 0.5000 0.0000
4 Y 0.0000 0.0000 0.5000
5 Y 0.0000 0.5000 0.0000
6 Y 0.5000 0.0000 0.0000
7 Zr 0.5000 0.5000 0.5000
8 Te 0.2334 0.2334 0.2334
9 Te 0.2440 0.7247 0.7247
10 Te 0.2753 0.2753 0.7560
11 Te 0.2753 0.7560 0.2753
12 Te 0.7247 0.2440 0.7247
13 Te 0.7247 0.7247 0.2440
14 Te 0.7560 0.2753 0.2753
15 Te 0.7666 0.7666 0.7666

Calculated values
ΔE_f (raw), eV/atom: -1.284
Crystal system: trigonal
SG: R-3m


[2]
A plane-wave DFT calculation with PBE-GGA was carried out for RbGeSb2O8 after structural relaxation.

Cell: 4.6125 4.6337 8.4317 Å, 94.17 91.20 93.21°
Element x y z (fractional)
1 Rb 0.0000 0.0000 0.0000
2 Ge 0.0000 0.0000 0.5000
3 Sb 0.4942 0.5347 0.6815
4 Sb 0.5058 0.4653 0.3185
5 O 0.1744 0.1812 0.3290
6 O 0.2008 0.2139 0.6799
7 O 0.3012 0.7082 0.4957
8 O 0.4824 0.6544 0.9043
9 O 0.5176 0.3456 0.0957
10 O 0.6988 0.2918 0.5043
11 O 0.7992 0.7861 0.3201
12 O 0.8256 0.8188 0.6710

Calculated values
ΔE_f (raw), eV/atom: -1.145
Crystal system: triclinic
SG: P-1


[3]
A plane-wave DFT calculation with PBE-GGA was carried out for KNa3Ag after structural relaxation.

Cell: 10.7695 10.7695 7.3137 Å, 100.36 100.36 61.57°
Element x y z (fractional)
1 K 0.0527 0.9473 0.7500
2 K 0.3629 0.6371 0.2500
3 K 0.6371 0.3629 0.7500
4 K 0.9473 0.0527 0.2500
5 Na 0.0024 0.3455 0.0829
6 Na 0.0103 0.3474 0.5885
7 Na 0.3228 0.3229 0.4072
8 Na 0.3229 0.3228 0.9072
9 Na 0.3455 0.0024 0.5829
10 Na 0.3474 0.0103 0.0885
11 Na 0.6526 0.9897 0.9115
12 Na 0.6545 0.9976 0.4171
13 Na 0.6771 0.6772 0.0928
14 Na 0.6772 0.6771 0.5928
15 Na 0.9897 0.6526 0.4115
16 Na 0.9976 0.6545 0.9171
17 Ag 0.2588 0.5850 0.7080
18 Ag 0.4150 0.7412 0.7920
19 Ag 0.5850 0.2588 0.2080
20 Ag 0.7412 0.4150 0.2920

Calculated values
Excess energy over the best structure of this formula in the dataset, meV per atom: 5
Energy relative to the elements, eV/atom: 0.02
Crystal system: monoclinic
SG: C2/c


Number 1: mass density 4.60 g/cm3, spin magnetization 0.00 Bohr magnetons per cell. Number 2: mass density 4.90 g/cm3, spin magnetization 1.03 Bohr magnetons per cell. Number 3: mass density 1.97 g/cm3, spin magnetization 0.00 Bohr magnetons per cell.